TaBe2Fe | GGA-PBE | relaxed

abc: 4.011 4.011 4.011
angles: 60.00 60.00 60.00
Atoms (fractional coordinates):
Ta 0.500 0.500 0.500
Be 0.000 0.000 0.000
Fe 0.250 0.250 0.250
Be 0.750 0.750 0.750

## Properties
Raw total energy   -6.942 eV per atom
Crystal system   cubic

GdCoSi2Os | GGA-PBE | relaxed

abc: 5.676 5.676 5.676
angles: 138.35 138.35 60.37
Atoms (fractional coordinates):
Co 0.250 0.750 0.500
Si 0.372 0.372 0.000
Gd 0.000 0.000 0.000
Si 0.628 0.628 0.000
Os 0.750 0.250 0.500

## Properties
Raw total energy   -7.544 eV per atom
Crystal system   tetragonal

Pm2SbH3 | GGA-PBE | relaxed

abc: 7.851 7.851 7.314
angles: 113.91 113.91 29.55
Atoms (fractional coordinates):
H 0.596 0.596 0.624
H 0.693 0.693 0.478
Pm 0.798 0.798 0.313
H 0.937 0.937 0.586
Pm 0.202 0.202 0.687
Sb 0.868 0.868 0.954
H 0.063 0.063 0.414
H 0.307 0.307 0.522
Pm 0.529 0.529 0.268
Sb 0.132 0.132 0.046
H 0.404 0.404 0.376
Pm 0.471 0.471 0.732

## Properties
Raw total energy   -4.726 eV per atom
Crystal system   monoclinic

GdBeRe | GGA-PBE | relaxed

abc: 4.254 4.254 4.254
angles: 60.00 60.00 60.00
Atoms (fractional coordinates):
Gd 0.250 0.250 0.250
Be 0.000 0.000 0.000
Re 0.750 0.750 0.750

## Properties
Raw total energy   -6.340 eV per atom
Crystal system   cubic

BaTbO3 | GGA-PBE | relaxed

abc: 6.091 6.091 10.810
angles: 90.00 90.00 120.00
Site moments in Bohr magnetons follow the coordinates.
Atoms (fractional coordinates):
O 0.500 0.500 0.500  0.15
O 0.668 0.834 0.750  0.38
O 0.500 0.000 0.000  0.14
Ba 0.667 0.333 0.750  -0.01
O 0.500 0.500 0.000  0.13
O 0.000 0.500 0.500  0.14
O 0.834 0.166 0.250  0.46
Ba 0.000 0.000 0.500  -0.01
O 0.166 0.332 0.750  0.43
O 0.000 0.500 0.000  0.15
O 0.500 0.000 0.500  0.14
Tb 0.667 0.333 0.109  0.07
O 0.332 0.166 0.250  0.38
Ba 0.333 0.667 0.250  -0.01
Tb 0.333 0.667 0.609  0.07
Tb 0.667 0.333 0.391  0.07
O 0.166 0.834 0.750  0.46
Tb 0.333 0.667 0.891  0.07
O 0.834 0.668 0.250  0.43
Ba 0.000 0.000 0.000  -0.01

## Properties
Raw total energy   -6.831 eV per atom
Crystal system   hexagonal

Ba2TcW | GGA-PBE | relaxed

abc: 5.223 5.223 5.223
angles: 60.00 60.00 60.00
Site moments in Bohr magnetons follow the coordinates.
Atoms (fractional coordinates):
Ba 0.500 0.500 0.500  0.07
Ba 0.750 0.750 0.750  0.07
Tc 0.000 0.000 0.000  0.27
W 0.250 0.250 0.250  0.29

## Properties
Raw total energy   -5.237 eV per atom
Crystal system   cubic

FeTcNiAs | GGA-PBE | relaxed

abc: 4.150 4.150 4.150
angles: 60.00 60.00 60.00
Atoms (fractional coordinates):
Tc 0.250 0.250 0.250
Fe 0.750 0.750 0.750
Ni 0.500 0.500 0.500
As 0.000 0.000 0.000

## Properties
Crystal system   cubic
E above lowest polymorph   0.000 eV/atom

Si3Mo2W4C3 | GGA-PBE | relaxed

abc: 5.407 5.407 12.746
angles: 102.10 102.10 59.91
Atoms (fractional coordinates):
W 0.202 0.022 0.590
W 0.978 0.798 0.910
W 0.144 0.304 0.410
Si 0.934 0.066 0.750
Mo 0.536 0.373 0.603
Si 0.583 0.767 0.749
C 0.500 0.000 0.500
W 0.304 0.144 0.910
C 0.000 0.500 0.000
C 0.171 0.664 0.500
Mo 0.373 0.536 0.103
W 0.798 0.978 0.410
C 0.829 0.336 0.500
W 0.856 0.696 0.590
Mo 0.627 0.464 0.897
W 0.022 0.202 0.090
Mo 0.464 0.627 0.397
Si 0.417 0.233 0.251
Si 0.233 0.417 0.751
W 0.696 0.856 0.090
C 0.664 0.171 0.000
Si 0.066 0.934 0.250
Si 0.767 0.583 0.249
C 0.336 0.829 0.000

## Properties
Raw total energy   -9.774 eV per atom
Crystal system   monoclinic

Y2W4Au3N3 | GGA-PBE | relaxed

abc: 5.658 5.658 13.632
angles: 101.81 101.81 60.51
Atoms (fractional coordinates):
W 0.136 0.305 0.430
W 0.864 0.695 0.570
W 0.305 0.136 0.930
N 0.000 0.500 0.000
Y 0.378 0.539 0.118
W 0.695 0.864 0.070
Y 0.622 0.461 0.882
W 0.964 0.817 0.930
Au 0.027 0.973 0.750
N 0.190 0.655 0.500
W 0.036 0.183 0.070
N 0.810 0.345 0.500
Y 0.461 0.622 0.382
N 0.345 0.810 0.000
W 0.183 0.036 0.570
Au 0.581 0.866 0.749
N 0.500 0.000 0.500
Au 0.973 0.027 0.250
N 0.655 0.190 0.000
Au 0.134 0.419 0.751
Au 0.419 0.134 0.251
Y 0.539 0.378 0.618
Au 0.866 0.581 0.249
W 0.817 0.964 0.430

## Properties
Raw total energy   -8.734 eV per atom
Crystal system   monoclinic

Pr2SmCu2B2N3 | GGA-PBE | relaxed

abc: 10.693 10.693 10.693
angles: 160.37 160.37 27.90
Atoms (fractional coordinates):
B 0.814 0.814 0.000
N 0.883 0.883 0.000
Sm 0.000 0.000 0.000
B 0.186 0.186 0.000
Cu 0.250 0.750 0.500
N 0.500 0.500 0.000
Pr 0.377 0.377 0.000
N 0.117 0.117 0.000
Pr 0.623 0.623 0.000
Cu 0.750 0.250 0.500

## Properties
Raw total energy   -6.911 eV per atom
Crystal system   tetragonal

Tm4GaGe4Pd2 | GGA-PBE | relaxed

abc: 8.040 8.040 6.975
angles: 106.78 106.78 30.49
Atoms (fractional coordinates):
Pd 0.219 0.219 0.634
Tm 0.415 0.415 0.623
Tm 0.655 0.655 0.925
Ge 0.940 0.940 0.333
Ge 0.813 0.813 0.767
Tm 0.585 0.585 0.377
Ge 0.060 0.060 0.667
Ga 0.000 0.000 0.000
Tm 0.345 0.345 0.075
Pd 0.781 0.781 0.366
Ge 0.187 0.187 0.233

## Properties
Raw total energy   -5.379 eV per atom
Crystal system   monoclinic

MgCdNO | GGA-PBE | relaxed

abc: 4.449 4.449 4.652
angles: 90.00 90.00 90.00
Atoms (fractional coordinates):
N 0.500 0.000 0.500
N 0.000 0.500 0.500
Cd 0.500 0.500 0.500
Mg 0.000 0.500 0.000
Mg 0.500 0.000 0.000
O 0.500 0.500 0.000
Cd 0.000 0.000 0.500
O 0.000 0.000 0.000

## Properties
Crystal system   tetragonal
E above lowest polymorph   0.048 eV/atom

For the records above, the corresponding calculated volume values read 46, 80, 101, 54, 87, 101, 51, 156, 185, 138, 218, 46 Å³/f.u..